VASP calculation (PBE) on Hf6Bi2Rh after structural relaxation.

The structure in POSCAR format:
```
Hf6Bi2Rh
1.0
5.861 0.000 0.000
0.000 7.239 0.000
-5.848 0.000 9.748
Hf Bi Rh
12 4 2
Cartesian
-0.796 0.260 2.389
-3.720 3.359 7.263
0.773 5.344 0.349
-2.151 5.515 5.222
2.066 1.168 0.212
-0.858 2.451 5.086
0.872 4.788 4.662
-2.052 6.071 9.536
2.164 1.724 4.525
-0.759 1.895 9.399
3.733 3.880 2.485
0.809 6.979 7.359
-2.251 0.647 7.117
0.673 2.972 2.243
-0.660 4.267 7.505
2.264 6.592 2.631
0.007 0.000 4.874
2.930 3.620 0.000
```

Summary:
crystal system: monoclinic
formation energy from the elements: -0.9 eV/f.u.


VASP calculation (PBE) on Ge2BPbSe after structural relaxation.

The structure in POSCAR format:
```
Ge2BPbSe
1.0
5.458 0.000 0.000
0.000 5.458 0.000
0.000 0.000 5.524
Ge B Pb Se
2 1 1 1
Cartesian
0.000 2.729 0.000
2.729 0.000 0.000
0.000 0.000 2.762
2.729 2.729 0.000
2.729 2.729 2.762
```

Summary:
formation energy from raw total energies: 1767 meV/atom
crystal system: tetragonal